1.
First-principles (PBE) data for crystalline CaNdDy2Bi4 at its relaxed geometry, as listed in Alexandria.

Unit cell a=7.8689 b=4.5201 c=7.9208 alpha=90.00 beta=109.16 gamma=90.00
Sites, in units of the cell vectors:
Ca 0.0000 0.0000 0.0000
Nd 0.5000 0.5000 0.0000
Dy 0.0000 0.5000 0.5000
Dy 0.5000 0.0000 0.5000
Bi 0.2467 0.0000 0.7412
Bi 0.2535 0.5000 0.2597
Bi 0.7465 0.5000 0.7403
Bi 0.7533 0.0000 0.2588

Results
- Symmetry: No. 10
- Formation enthalpy at 0 K: -0.825 eV/atom



2.
First-principles (PBE) data for crystalline BaCaEuIn at its relaxed geometry, as listed in Alexandria.

Unit cell a=6.0226 b=6.0226 c=6.0226 alpha=60.00 beta=60.00 gamma=60.00
Sites, in units of the cell vectors:
Ba 0.0000 0.0000 0.0000
Ca 0.7500 0.7500 0.7500
Eu 0.5000 0.5000 0.5000
In 0.2500 0.2500 0.2500

Results
- Symmetry: No. 216
- Formation enthalpy at 0 K: -0.155 eV/atom